No. 1
Here is AcSmNi3 after structural relaxation from the Alexandria database. Energies are from PBE.

abc: 4.131 24.666 4.116
angles: 90.00 90.00 90.00
Space group Cmcm (No. 63)
Symmetry-distinct sites (fractional):
1 Ac 0.000 0.073 0.250
2 Sm 0.000 0.205 0.750
3 Ni 0.000 0.323 0.750
4 Ni 0.000 0.376 0.250
5 Ni 0.000 0.474 0.250

Results
- D(E_F): 5.2 states/eV/f.u.
- Energy: -5.544 eV per atom
- M_tot: 0.0 μB/cell
- Energy relative to the elements: -1.5 eV/f.u.

No. 2
Here is Ac2SmNi6 after structural relaxation from the Alexandria database. Energies are from PBE.

abc: 7.0907 7.0907 4.1201
angles: 90.00 90.00 120.00
Space group P6/mmm (No. 191)
Symmetry-distinct sites (fractional):
1 Ac 0.3333 0.6667 0.0000
2 Sm 0.0000 0.0000 0.0000
3 Ni 0.0000 0.3296 0.5000

Results
- D(E_F): 10.7 states/eV/f.u.
- Energy: -5.575 eV per atom
- M_tot: 0.5 μB/cell
- Energy relative to the elements: -2.5 eV/f.u.